## Pr2LuPb7 (PBE)

Data for a relaxed Pr2LuPb7 crystal.

a = 13.3076 Å, b = 13.3076 Å, c = 4.7733 Å
α = 90.00°, β = 90.00°, γ = 159.63°
Last column: nearest neighbours and their distance in Å.
Sites, in units of the cell vectors:
Pr 0.1869 0.8131 0.0000  10 Pb 3.39-3.66
Pb 0.5000 0.5000 0.5000  4 Lu 3.35, 8 Pb 3.41
Pb 0.7070 0.2930 0.5000  2 Pb 3.26, 4 Pr 3.39
Lu 0.0000 0.0000 0.0000  12 Pb 3.35-3.43
Pb 0.4070 0.5930 0.0000  6 Pb 3.35-3.41, 2 Lu 3.39, 2 Pr 3.40
Pb 0.0940 0.9060 0.5000  6 Pb 3.35-3.41, 2 Pr 3.41, 2 Lu 3.43
Pb 0.9060 0.0940 0.5000  6 Pb 3.35-3.41, 2 Pr 3.41, 2 Lu 3.43
Pb 0.5930 0.4070 0.0000  6 Pb 3.35-3.41, 2 Lu 3.39, 2 Pr 3.40
Pb 0.2930 0.7070 0.5000  2 Pb 3.26, 4 Pr 3.39
Pr 0.8131 0.1869 0.0000  10 Pb 3.39-3.66

E_tot: -4.371 eV per atom



## Lu2Si3W4N3 (PBE)

Data for a relaxed Lu2Si3W4N3 crystal.

a = 5.3958 Å, b = 5.3958 Å, c = 13.3357 Å
α = 102.23°, β = 102.23°, γ = 60.37°
Last column: nearest neighbours and their distance in Å.
Sites, in units of the cell vectors:
Lu 0.6234 0.4605 0.8835  3 N 2.25-2.35
N 0.5000 0.0000 0.5000  4 W 2.13-2.14, 2 Lu 2.35
Lu 0.4605 0.6234 0.3835  3 N 2.25-2.35
W 0.0511 0.1819 0.0846  3 N 2.13-2.18
Lu 0.3766 0.5395 0.1165  3 N 2.25-2.35
Si 0.1043 0.4160 0.7506  4 W 2.58-2.70, 4 Si 2.66-2.74
W 0.8776 0.7001 0.5846  3 N 2.13-2.17
N 0.6520 0.1968 0.0003  4 W 2.13-2.18, 2 Lu 2.25-2.26
N 0.1968 0.6520 0.5003  4 W 2.13-2.18, 2 Lu 2.25-2.26
W 0.9489 0.8181 0.9154  3 N 2.13-2.18
N 0.0000 0.5000 0.0000  4 W 2.13-2.14, 2 Lu 2.35
Si 0.4160 0.1043 0.2506  4 W 2.58-2.70, 4 Si 2.66-2.74
Si 0.5840 0.8957 0.7494  4 W 2.58-2.70, 4 Si 2.66-2.74
Si 0.9221 0.0779 0.2500  4 W 2.57-2.69, 4 Si 2.66-2.74
W 0.2999 0.1224 0.9154  3 N 2.13-2.17
W 0.1819 0.0511 0.5846  3 N 2.13-2.18
Si 0.8957 0.5840 0.2494  4 W 2.58-2.70, 4 Si 2.66-2.74
N 0.3480 0.8032 0.9997  4 W 2.13-2.18, 2 Lu 2.25-2.26
Lu 0.5395 0.3766 0.6165  3 N 2.25-2.35
W 0.7001 0.8776 0.0846  3 N 2.13-2.17
W 0.8181 0.9489 0.4154  3 N 2.13-2.18
N 0.8032 0.3480 0.4997  4 W 2.13-2.18, 2 Lu 2.25-2.26
Si 0.0779 0.9221 0.7500  4 W 2.57-2.69, 4 Si 2.66-2.74
W 0.1224 0.2999 0.4154  3 N 2.13-2.17

E_tot: -8.954 eV per atom



## AgMoAs2 (PBE)

Data for a relaxed AgMoAs2 crystal.

a = 4.6088 Å, b = 4.6088 Å, c = 4.6088 Å
α = 60.00°, β = 60.00°, γ = 60.00°
Last column: nearest neighbours and their distance in Å.
Sites, in units of the cell vectors:
Ag 0.7500 0.7500 0.7500  4 As 2.82, 4 Mo 2.82
Mo 0.5000 0.5000 0.5000  4 As 2.82, 4 Ag 2.82
As 0.0000 0.0000 0.0000  4 Ag 2.82, 4 As 2.82
As 0.2500 0.2500 0.2500  4 Mo 2.82, 4 As 2.82

E_tot: -5.088 eV per atom



## Sm2SeS (PBE)

Data for a relaxed Sm2SeS crystal.

a = 4.0915 Å, b = 4.0915 Å, c = 5.7891 Å
α = 90.00°, β = 90.00°, γ = 90.00°
Last column: nearest neighbours and their distance in Å.
Sites, in units of the cell vectors:
Sm 0.5000 0.5000 0.0000  4 Se 2.89, 2 S 2.89
Sm 0.0000 0.0000 0.5000  4 S 2.89, 2 Se 2.89
S 0.5000 0.5000 0.5000  6 Sm 2.89
Se 0.0000 0.0000 0.0000  6 Sm 2.89

E above lowest polymorph: 10 meV per atom



## PmGaAsO (PBE)

Data for a relaxed PmGaAsO crystal.

a = 4.1919 Å, b = 4.1919 Å, c = 8.9067 Å
α = 90.00°, β = 90.00°, γ = 90.00°
Last column: nearest neighbours and their distance in Å.
Sites, in units of the cell vectors:
O 0.7500 0.2500 0.0000  4 Pm 2.35
Ga 0.2500 0.7500 0.5000  4 As 2.62
As 0.2500 0.2500 0.6758  4 Ga 2.62
Ga 0.7500 0.2500 0.5000  4 As 2.62
As 0.7500 0.7500 0.3242  4 Ga 2.62
O 0.2500 0.7500 0.0000  4 Pm 2.35
Pm 0.7500 0.7500 0.8803  4 O 2.35
Pm 0.2500 0.2500 0.1197  4 O 2.35

E above lowest polymorph: 0 meV per atom



## Ho3PS2 (PBE)

Data for a relaxed Ho3PS2 crystal.

a = 3.9248 Å, b = 3.9248 Å, c = 9.5690 Å
α = 90.00°, β = 90.00°, γ = 120.00°
Last column: nearest neighbours and their distance in Å.
Sites, in units of the cell vectors:
Ho 0.0000 0.0000 0.0000  6 S 2.76
S 0.6667 0.3333 0.1638  6 Ho 2.76-2.81
S 0.3333 0.6667 0.8362  6 Ho 2.76-2.81
Ho 0.3333 0.6667 0.3371  3 P 2.75, 3 S 2.81
Ho 0.6667 0.3333 0.6629  3 P 2.75, 3 S 2.81
P 0.0000 0.0000 0.5000  6 Ho 2.75

E above lowest polymorph: 16 meV per atom



## NdAg3O3 (PBE)

Data for a relaxed NdAg3O3 crystal.

a = 7.9033 Å, b = 3.4236 Å, c = 8.5341 Å
α = 90.00°, β = 116.91°, γ = 90.00°
Last column: nearest neighbours and their distance in Å.
Sites, in units of the cell vectors:
O 0.5322 0.2500 0.3536  4 Ag 2.23-2.49, 2 Nd 2.45
O 0.9181 0.2500 0.5874  1 Ag 2.25, 3 Nd 2.39-2.43
Ag 0.6940 0.2500 0.6808  4 O 2.25-2.49
Ag 0.3464 0.2500 0.0645  3 O 2.23-2.38
O 0.0819 0.7500 0.4126  1 Ag 2.25, 3 Nd 2.39-2.43
Ag 0.0055 0.7500 0.8676  1 O 2.24
Ag 0.6536 0.7500 0.9355  3 O 2.23-2.38
Ag 0.3060 0.7500 0.3192  4 O 2.25-2.49
Nd 0.7608 0.7500 0.3665  7 O 2.39-2.45
Nd 0.2392 0.2500 0.6335  7 O 2.39-2.45
O 0.7193 0.2500 0.1492  3 Ag 2.24-2.38, 2 Nd 2.43
Ag 0.9945 0.2500 0.1324  1 O 2.24
O 0.2807 0.7500 0.8508  3 Ag 2.24-2.38, 2 Nd 2.43
O 0.4678 0.7500 0.6464  4 Ag 2.23-2.49, 2 Nd 2.45

E_tot: -5.164 eV per atom



## LiNi6Sn4 (PBE)

Data for a relaxed LiNi6Sn4 crystal.

a = 7.5048 Å, b = 7.5048 Å, c = 7.5048 Å
α = 41.02°, β = 41.02°, γ = 41.02°
Last column: nearest neighbours and their distance in Å.
Sites, in units of the cell vectors:
Sn 0.3305 0.3305 0.3305  6 Ni 2.61-2.65
Ni 0.4013 0.4013 0.8848  4 Ni 2.54-2.72, 5 Sn 2.60-2.68
Ni 0.5987 0.1152 0.5987  4 Ni 2.54-2.72, 5 Sn 2.60-2.68
Sn 0.1284 0.1284 0.1284  9 Ni 2.60-2.68, 1 Li 2.64
Sn 0.6695 0.6695 0.6695  6 Ni 2.61-2.65
Li 0.0000 0.0000 0.0000  2 Sn 2.64
Ni 0.5987 0.5987 0.1152  4 Ni 2.54-2.72, 5 Sn 2.60-2.68
Sn 0.8716 0.8716 0.8716  9 Ni 2.60-2.68, 1 Li 2.64
Ni 0.8848 0.4013 0.4013  4 Ni 2.54-2.72, 5 Sn 2.60-2.68
Ni 0.1152 0.5987 0.5987  4 Ni 2.54-2.72, 5 Sn 2.60-2.68
Ni 0.4013 0.8848 0.4013  4 Ni 2.54-2.72, 5 Sn 2.60-2.68

E_tot: -4.901 eV per atom



Number 5 is which compound?
PmGaAsO